## Bi3H12Ru5 (PBE-GGA)

Data for Bi3H12Ru5 after structural relaxation.

abc: 11.6809 11.6809 11.6809
angles: 90.00 90.00 90.00
Space group Ia-3d (No. 230)
Asymmetric unit:
Bi 0.0000 0.2500 0.1250 [24 per cell]
H 0.0518 0.1254 0.9320 [96 per cell]
Ru 0.0000 0.0000 0.0000 [16 per cell]
Ru 0.0000 0.2500 0.3750 [24 per cell]

## Properties
total DFT energy (no corrections): -4.592 eV per atom
crystal system: cubic